Below is crystalline Be2NiMo2 at its relaxed geometry, with properties calculated at the PBE level.

Cell and atoms, written as POSCAR:
```
Be2NiMo2
1.0
-5.962 -3.481 -1.124
3.623 -5.321 -2.738
0.190 -1.093 2.377
Mo Ni Be
4 2 4
Cartesian
0.593 -2.427 -1.164 Mo
0.939 -5.943 -2.809 Mo
-3.279 -2.859 -1.053 Mo
-2.933 -6.375 -2.699 Mo
-1.170 -4.401 -1.931 Ni
0.000 0.000 0.000 Ni
-1.242 -2.603 0.349 Be
-3.655 -5.178 -0.643 Be
-0.908 -7.292 -1.835 Be
1.505 -4.717 -0.843 Be
```

Summary:
Spin magnetization   0.00 μB/atom
D(E_F)   3.35 states/eV/f.u.
Energy of formation   0.4296 eV/atom
E   -6.550 eV/atom
SG   P4/mbm

---

Below is crystalline BeNiMo2 at its relaxed geometry, with properties calculated at the PBE level.

Cell and atoms, written as POSCAR:
```
BeNiMo2
1.0
4.667 -0.014 0.003
1.696 4.348 -0.003
-2.798 -2.730 2.550
Be Mo Ni
1 2 1
Cartesian
1.178 1.986 1.273 Be
0.055 0.037 0.000 Mo
2.489 -0.314 1.277 Mo
3.025 2.061 0.000 Ni
```

Summary:
Spin magnetization   0.00 μB/atom
D(E_F)   5.05 states/eV/f.u.
Energy of formation   0.0765 eV/atom
E   -7.716 eV/atom
SG   Imm2

---

Below is crystalline BeNiMo at its relaxed geometry, with properties calculated at the PBE level.

Cell and atoms, written as POSCAR:
```
BeNiMo
1.0
-4.610 3.853 0.481
1.103 -1.160 4.052
-2.087 5.523 -1.211
Mo Be Ni
2 2 2
Cartesian
-1.907 3.358 0.886 Mo
-4.291 4.023 1.539 Mo
-2.485 5.620 2.256 Be
-2.536 3.102 3.246 Be
-4.195 6.355 0.431 Ni
-4.782 6.139 2.896 Ni
```

Summary:
Spin magnetization   0.00 μB/atom
D(E_F)   1.84 states/eV/f.u.
Energy of formation   -0.0182 eV/atom
E   -6.798 eV/atom
SG   Cm

---

Below is crystalline BeNi2Mo at its relaxed geometry, with properties calculated at the PBE level.

Cell and atoms, written as POSCAR:
```
BeNi2Mo
1.0
3.766 0.000 0.000
0.000 2.546 0.007
0.000 1.308 4.804
Be Ni Mo
1 2 1
Cartesian
1.883 0.964 1.203 Be
0.000 1.718 2.313 Ni
0.000 0.209 0.092 Ni
1.883 2.891 3.608 Mo
```

Summary:
Spin magnetization   0.00 μB/atom
D(E_F)   4.14 states/eV/f.u.
Energy of formation   -0.0487 eV/atom
E   -6.579 eV/atom
SG   P2/m

---

Below is crystalline BeNiMo at its relaxed geometry, with properties calculated at the PBE level.

Cell and atoms, written as POSCAR:
```
BeNiMo
1.0
5.980 0.000 0.000
0.000 3.304 0.000
0.000 0.000 6.823
Be Mo Ni
4 4 4
Cartesian
1.347 2.478 4.310 Be
1.643 0.826 0.899 Be
4.337 2.478 5.925 Be
4.633 0.826 2.513 Be
3.162 0.826 4.529 Mo
5.808 2.478 1.117 Mo
0.172 0.826 5.706 Mo
2.818 2.478 2.294 Mo
2.133 2.478 6.406 Ni
0.857 0.826 2.995 Ni
3.847 0.826 0.417 Ni
5.123 2.478 3.828 Ni
```

Summary:
Spin magnetization   0.00 μB/atom
D(E_F)   1.63 states/eV/f.u.
Energy of formation   -0.2245 eV/atom
E   -7.004 eV/atom
SG   Pnma

---

Below is crystalline BeNi2Mo at its relaxed geometry, with properties calculated at the PBE level.

Cell and atoms, written as POSCAR:
```
BeNi2Mo
1.0
-7.476 2.644 -1.955
-7.949 1.813 0.474
-6.998 4.211 0.077
Be Mo Ni
1 1 2
Cartesian
-11.388 4.402 -0.712 Be
-16.845 6.512 -1.054 Mo
-22.333 8.633 -1.397 Ni
-5.493 2.123 -0.344 Ni
```

Summary:
Spin magnetization   0.00 μB/atom
D(E_F)   1.67 states/eV/f.u.
Energy of formation   0.0939 eV/atom
E   -6.436 eV/atom
SG   R3m

---

Below is crystalline BeNiMo at its relaxed geometry, with properties calculated at the PBE level.

Cell and atoms, written as POSCAR:
```
BeNiMo
1.0
-4.020 1.149 -1.043
0.516 -1.148 -3.254
-2.764 -3.811 0.907
Be Ni Mo
2 2 2
Cartesian
-3.242 -3.376 -2.758 Be
-4.851 -2.796 -1.348 Be
-3.032 -1.638 -1.467 Ni
-2.297 -0.722 -3.544 Ni
-0.448 -0.606 -1.422 Mo
-4.881 -1.755 -3.591 Mo
```

Summary:
Spin magnetization   0.00 μB/atom
D(E_F)   1.48 states/eV/f.u.
Energy of formation   -0.0583 eV/atom
E   -6.838 eV/atom
SG   P2_1/m

---

Below is crystalline BeNiMo at its relaxed geometry, with properties calculated at the PBE level.

Cell and atoms, written as POSCAR:
```
BeNiMo
1.0
-1.548 1.849 -2.980
-1.634 -3.203 1.328
-5.127 5.008 5.771
Ni Be Mo
2 2 2
Cartesian
0.000 0.000 0.000 Ni
-2.564 2.504 2.886 Ni
-5.423 3.921 2.784 Be
-2.888 -0.267 1.335 Be
-3.845 3.756 4.328 Mo
-1.282 1.252 1.443 Mo
```

Summary:
Spin magnetization   0.00 μB/atom
D(E_F)   7.42 states/eV/f.u.
Energy of formation   2.0934 eV/atom
E   -4.686 eV/atom
SG   P6_3/mmc

---

Number 3 is which compound?
BeNiMo

---

Among the records above, which one has the lowest energy of formation?
number 5